# IrSeBr PBE optimized geometry
data_IrSeBr
_chemical_formula_sum 'Ir4 Se4 Br4'
_cell_length_a 6.403
_cell_length_b 6.403
_cell_length_c 6.403
_cell_angle_alpha 90.00
_cell_angle_beta 90.00
_cell_angle_gamma 90.00
_space_group_name_H-M_alt 'F -4 3 m'
_space_group_IT_number 216
_space_group_name_Hall 'F -4 2 3'
loop_
_atom_site_label
_atom_site_type_symbol
_atom_site_fract_x
_atom_site_fract_y
_atom_site_fract_z
Ir1 Ir 0.000 0.000 0.000
Se1 Se 0.250 0.250 0.250
Br1 Br 0.000 0.000 0.500
# Magnetic moment ... 0.0 μB/f.u.
# Electronic total energy ... -3.442 eV per atom
# DOS at the Fermi energy ... 7.85 states/eV per cell
# ΔE_f (raw) ... 3.69 eV per formula unit